1.
DFT (PBE) results for a relaxed CaAg2Br crystal.

```
CaAg2Br
1.0
6.6178 0.0172 0.0000
4.1090 5.1877 0.0000
-5.3634 -2.6024 2.8735
Ca Br Ag
1 1 2
direct
0.7500 0.2500 0.5000
0.2500 0.7500 0.5000
0.0000 0.0000 0.0000
0.5000 0.5000 0.0000
```

Properties
* energy relative to the lowest polymorph listed for this composition: 0.069 eV/atom
* ρ: 5.66 g/cm³
* uncorrected energy: -11.4 eV/f.u.
* uncorrected formation energy: -504 meV/atom

2.
DFT (PBE) results for a relaxed PmY2Cu crystal.

```
PmY2Cu
1.0
-1.8971 2.5125 1.6411
-2.0069 -0.8396 2.8058
7.0815 2.5763 8.0823
Y Cu Pm
2 1 1
direct
0.1061 0.1061 0.6816
0.8939 0.8939 0.3184
0.5000 0.5000 0.5000
0.0000 0.0000 0.0000
```

Properties
* energy relative to the lowest polymorph listed for this composition: 0.308 eV/atom
* energy of formation from the pure elements: 0.21 eV/atom
* ρ: 5.41 g/cm³
* uncorrected energy: -20.9 eV/f.u.

3.
DFT (PBE) results for a relaxed Ca2BeP crystal.

```
Ca2BeP
1.0
3.3577 0.0000 0.0000
0.0000 3.3577 0.0000
0.0000 0.0000 8.1120
P Ca Be
1 2 1
direct
0.0000 0.0000 0.5732
0.0000 0.0000 0.9230
0.5000 0.5000 0.3327
0.5000 0.5000 0.6711
```

Properties
* energy relative to the lowest polymorph listed for this composition: 0.484 eV/atom
* energy of formation from the pure elements: -0.08 eV/atom
* ρ: 2.18 g/cm³
* uncorrected energy: -13.4 eV/f.u.

4.
DFT (PBE) results for a relaxed CuSb2Br crystal.

```
CuSb2Br
1.0
-4.1048 5.7469 -2.2788
-5.5217 4.7239 1.5048
-2.0747 7.0355 1.1254
Br Cu Sb
1 1 2
direct
0.2500 0.2500 0.2500
0.7500 0.7500 0.7500
0.0298 0.0298 0.0298
0.4702 0.4702 0.4702
```

Properties
* energy relative to the lowest polymorph listed for this composition: 0.000 eV/atom
* ρ: 6.09 g/cm³
* uncorrected energy: -14.3 eV/f.u.
* uncorrected formation energy: -69 meV/atom

5.
DFT (PBE) results for a relaxed NaLaC2 crystal.

```
NaLaC2
1.0
1.4297 -0.5097 4.1820
2.4446 3.1835 1.9187
-1.7372 2.4764 3.2622
Na C La
1 2 1
direct
0.0000 0.0000 0.0000
0.2500 0.2500 0.2500
0.7500 0.7500 0.7500
0.5000 0.5000 0.5000
```

Properties
* energy relative to the lowest polymorph listed for this composition: 0.000 eV/atom
* energy of formation from the pure elements: 1.18 eV/atom
* ρ: 4.96 g/cm³
* uncorrected energy: -20.0 eV/f.u.

6.
DFT (PBE) results for a relaxed Mg2CrRu crystal.

```
Mg2CrRu
1.0
4.3806 -0.0108 0.0000
0.0087 4.3806 0.0000
-2.1947 -2.1849 3.0983
Cr Mg Ru
1 2 1
direct
0.7500 0.2500 0.5000
0.0000 0.0000 0.0000
0.2500 0.7500 0.5000
0.5000 0.5000 0.0000
```

Properties
* energy relative to the lowest polymorph listed for this composition: 0.150 eV/atom
* energy of formation from the pure elements: 0.20 eV/atom
* ρ: 5.63 g/cm³
* uncorrected energy: -21.3 eV/f.u.

7.
DFT (PBE) results for a relaxed Pm8Er2Th crystal.

```
Pm8Er2Th
1.0
5.4287 0.1432 -0.1032
-0.2597 8.2123 -2.3061
0.1606 0.0830 8.5320
Pm Er Th
8 2 1
direct
0.0002 0.9659 0.7027
0.0002 0.7027 0.9659
0.5000 0.6676 0.6676
0.5000 0.2519 0.7481
0.5000 0.7481 0.2519
0.5000 0.3324 0.3324
0.9998 0.2973 0.0341
0.9998 0.0341 0.2973
0.0000 0.6195 0.3805
0.0000 0.3805 0.6195
0.5000 0.0000 0.0000
```

Properties
* energy relative to the lowest polymorph listed for this composition: 0.000 eV/atom
* energy of formation from the pure elements: 0.17 eV/atom
* ρ: 7.51 g/cm³
* uncorrected energy: -52.7 eV/f.u.

8.
DFT (PBE) results for a relaxed GdPuZnIn crystal.

```
GdPuZnIn
1.0
-0.3110 4.6592 -2.4007
-1.1174 0.2435 -5.1245
-4.6585 1.8297 -1.5872
Zn Gd In Pu
1 1 1 1
direct
0.7500 0.7500 0.7500
0.5000 0.5000 0.5000
0.2500 0.2500 0.2500
0.0000 0.0000 0.0000
```

Properties
* energy of formation from the pure elements: -0.22 eV/atom
* ρ: 9.43 g/cm³
* uncorrected energy: -33.3 eV/f.u.

9.
DFT (PBE) results for a relaxed KRb4Ge3Cl12 crystal.

```
KRb4Ge3Cl12
1.0
-0.8673 6.3374 6.7257
-8.1598 -4.2113 -1.3537
6.3558 -6.2932 2.4797
K Rb Ge Cl
1 4 3 12
direct
0.0000 0.0000 0.0000
0.5000 0.5000 0.5000
0.0000 0.0000 0.5000
0.5000 0.0000 0.0000
0.0000 0.5000 0.0000
0.5000 0.0000 0.5000
0.5000 0.5000 0.0000
0.0000 0.5000 0.5000
0.2500 0.5000 0.7500
0.7315 0.0000 0.7315
0.2685 0.0000 0.2685
0.7500 0.5000 0.2500
0.7315 0.7315 0.0000
0.2685 0.2685 0.0000
0.7500 0.2500 0.5000
0.2500 0.7500 0.5000
0.5000 0.2500 0.7500
0.0000 0.7315 0.7315
0.5000 0.7500 0.2500
0.0000 0.2685 0.2685
```

Properties
* ρ: 2.76 g/cm³
* uncorrected energy: -68.1 eV/f.u.
* uncorrected formation energy: -1356 meV/atom

10.
DFT (PBE) results for a relaxed Sc2FeW crystal.

```
Sc2FeW
1.0
3.0242 0.0000 0.0000
0.0000 3.0242 0.0000
0.0000 0.0000 7.3884
Fe Sc W
1 2 1
direct
0.5000 0.5000 0.7500
0.0000 0.0000 0.9597
0.0000 0.0000 0.5403
0.5000 0.5000 0.2500
```

Properties
* energy relative to the lowest polymorph listed for this composition: 0.194 eV/atom
* energy of formation from the pure elements: 0.23 eV/atom
* ρ: 8.10 g/cm³
* uncorrected energy: -33.2 eV/f.u.

11.
DFT (PBE) results for a relaxed ZrMnSi3 crystal.

```
ZrMnSi3
1.0
-0.8566 -4.1476 -2.6296
4.4084 -1.8257 1.4436
-2.1641 -2.0774 3.9815
Si Mn Zr
3 1 1
direct
0.0000 0.5000 0.0000
0.0000 0.0000 0.5000
0.5000 0.0000 0.0000
0.5000 0.5000 0.5000
0.0000 0.0000 0.0000
```

Properties
* ρ: 3.09 g/cm³
* uncorrected energy: -26.0 eV/f.u.
* uncorrected formation energy: 1603 meV/atom

12.
DFT (PBE) results for a relaxed PrNdTm5Th2 crystal.

```
PrNdTm5Th2
1.0
-4.4679 2.3047 -7.3287
-7.5697 -2.7688 3.7441
4.9063 7.1196 4.6366
Pr Nd Tm Th
2 2 10 4
direct
0.2500 0.2500 0.5000
0.7500 0.7500 0.5000
0.2500 0.7500 0.5000
0.7500 0.2500 0.5000
0.9302 0.4302 0.2725
0.6577 0.1577 0.7275
0.0698 0.5698 0.7275
0.1577 0.0698 0.7275
0.5698 0.6577 0.7275
0.8423 0.9302 0.2725
0.4302 0.3423 0.2725
0.3423 0.8423 0.2725
0.5000 0.5000 0.0000
0.0000 0.0000 0.0000
0.1182 0.3818 0.0000
0.6182 0.1182 0.0000
0.3818 0.8818 0.0000
0.8818 0.6182 0.0000
```

Properties
* energy of formation from the pure elements: 0.32 eV/atom
* ρ: 8.90 g/cm³
* uncorrected energy: -43.8 eV/f.u.